1.
A PBEsol-optimized structure of TiMnCrP3O12, computed with meta-GGA SCAN.

## Properties
DOS(E_F) = 0.000 states/eV per atom
ρ = 3.35 g/cm³
Formation energy from raw total energies = -2.639 eV per atom
Space-group type = R3c (161)

Cell: 8.5233 8.5233 8.5010 Å, 59.91 59.91 60.00°
Last column: nearest neighbours and their distance in Å.
Element x y z (fractional)
1 O 0.0854 0.7392 0.2352  1 P 1.55
2 O 0.4139 0.5551 0.2689  1 P 1.56
3 O 0.0026 0.1863 0.4317  1 P 1.55
4 O 0.5551 0.7621 0.2689  1 P 1.56
5 O 0.2621 0.0551 0.7689  1 P 1.56
6 O 0.3123 0.5035 0.0666  1 P 1.51
7 O 0.8794 0.6864 0.9317  1 P 1.55
8 O 0.1177 0.3123 0.0666  1 P 1.51
9 O 0.9139 0.2621 0.7689  1 P 1.56
10 O 0.5854 0.4402 0.7352  1 P 1.55
11 O 0.2392 0.5854 0.7352  1 P 1.55
12 O 0.7392 0.9402 0.2352  1 P 1.55
13 O 0.5035 0.1177 0.0666  1 P 1.51
14 O 0.3794 0.0026 0.4317  1 P 1.55
15 O 0.5026 0.8794 0.9317  1 P 1.55
16 O 0.0551 0.9139 0.7689  1 P 1.56
17 O 0.6864 0.5026 0.9317  1 P 1.55
18 O 0.9402 0.0854 0.2352  1 P 1.55
19 O 0.4402 0.2392 0.7352  1 P 1.55
20 O 0.8122 0.6177 0.5666  1 P 1.51
21 O 0.0035 0.8122 0.5666  1 P 1.51
22 O 0.7621 0.4139 0.2689  1 P 1.56
23 O 0.6177 0.0035 0.5666  1 P 1.51
24 O 0.1863 0.3794 0.4317  1 P 1.55
25 Mn 0.4987 0.4987 0.5039  6 O 2.18-2.21
26 Mn 0.9987 0.9987 0.0039  6 O 2.18-2.21
27 Ti 0.1436 0.1436 0.5692  6 O 1.87-2.04
28 Ti 0.6436 0.6436 0.0692  6 O 1.87-2.04
29 Cr 0.3577 0.3577 0.9270  6 O 1.91-1.99
30 Cr 0.8577 0.8577 0.4270  6 O 1.91-1.99
31 P 0.4602 0.0429 0.7477  4 O 1.51-1.56
32 P 0.2492 0.5429 0.2477  4 O 1.51-1.56
33 P 0.9602 0.2492 0.2477  4 O 1.51-1.56
34 P 0.7492 0.4602 0.7477  4 O 1.51-1.56
35 P 0.0429 0.7492 0.7477  4 O 1.51-1.56
36 P 0.5429 0.9602 0.2477  4 O 1.51-1.56



2.
A PBEsol-optimized structure of Ti3MnCr2P6O24, computed with meta-GGA SCAN.

## Properties
DOS(E_F) = 0.100 states/eV per atom
ρ = 3.38 g/cm³
Formation energy from raw total energies = -2.231 eV per atom
Space-group type = R3 (146)

Cell: 8.1441 8.1441 8.1441 Å, 65.60 65.60 65.60°
Last column: nearest neighbours and their distance in Å.
Element x y z (fractional)
1 O 0.1122 0.7706 0.8724  1 P 1.57
2 O 0.5223 0.6295 0.3171  1 Cr 1.69
3 O 0.7706 0.8724 0.1122  1 P 1.57
4 O 0.0310 0.3361 0.7318  2 P 1.62-1.67
5 O 0.2681 0.2093 0.9316  1 P 1.52
6 O 0.7874 0.6048 0.9193  2 Ti 1.84-1.85
7 O 0.9316 0.2681 0.2093  1 P 1.52
8 O 0.6295 0.3171 0.5223  1 Cr 1.69
9 O 0.2093 0.9316 0.2681  1 P 1.52
10 O 0.3361 0.7318 0.0310  2 P 1.62-1.67
11 O 0.4488 0.0887 0.2311  1 P 1.50
12 O 0.7318 0.0310 0.3361  2 P 1.62-1.67
13 O 0.9193 0.7874 0.6048  2 Ti 1.84-1.85
14 O 0.3573 0.1843 0.6037  1 P 1.57
15 O 0.1843 0.6037 0.3573  1 P 1.57
16 O 0.3171 0.5223 0.6295  1 Cr 1.69
17 O 0.0887 0.2311 0.4488  1 P 1.50
18 O 0.2311 0.4488 0.0887  1 P 1.50
19 O 0.6048 0.9193 0.7874  2 Ti 1.84-1.85
20 O 0.8724 0.1122 0.7706  1 P 1.57
21 O 0.7877 0.4730 0.5883  1 P 1.55
22 O 0.5883 0.7877 0.4730  1 P 1.55
23 O 0.6037 0.3573 0.1843  1 P 1.57
24 O 0.4730 0.5883 0.7877  1 P 1.55
25 P 0.6201 0.9442 0.2837  4 O 1.50-1.62
26 P 0.1635 0.8045 0.2094  3 O 1.52-1.67
27 P 0.2094 0.1635 0.8045  3 O 1.52-1.67
28 P 0.9442 0.2837 0.6201  4 O 1.50-1.62
29 P 0.8045 0.2094 0.1635  3 O 1.52-1.67
30 P 0.2837 0.6201 0.9442  4 O 1.50-1.62
31 Ti 0.4108 0.4108 0.4108  6 O 1.94-2.05
32 Ti 0.8338 0.8338 0.8338  3 O 1.84
33 Ti 0.7070 0.7070 0.7070  3 O 1.85
34 Cr 0.1936 0.1936 0.1936  6 O 1.93-2.00
35 Cr 0.5391 0.5391 0.5391  3 O 1.69
36 Mn 0.9842 0.9842 0.9842  3 O 1.99



3.
A PBEsol-optimized structure of MnV3Cr2P6O24, computed with meta-GGA SCAN.

## Properties
DOS(E_F) = 0.415 states/eV per atom
ρ = 3.45 g/cm³
Formation energy from raw total energies = -2.466 eV per atom
Space-group type = R3 (146)

Cell: 8.3486 8.3486 8.3486 Å, 61.37 61.37 61.37°
Last column: nearest neighbours and their distance in Å.
Element x y z (fractional)
1 P 0.4522 0.7516 0.0457  4 O 1.50-1.57
2 P 0.0457 0.4522 0.7516  4 O 1.50-1.57
3 P 0.9561 0.5436 0.2521  4 O 1.53-1.57
4 P 0.7516 0.0457 0.4522  4 O 1.50-1.57
5 P 0.2521 0.9561 0.5436  4 O 1.53-1.57
6 P 0.5436 0.2521 0.9561  4 O 1.53-1.57
7 O 0.3827 0.1853 0.9968  1 P 1.53
8 O 0.5902 0.2489 0.4327  1 P 1.57
9 O 0.8846 0.4970 0.6829  1 P 1.53
10 O 0.2464 0.9083 0.0610  1 P 1.57
11 O 0.1119 0.4893 0.3329  1 P 1.53
12 O 0.4089 0.7511 0.5625  1 P 1.57
13 O 0.9510 0.7440 0.0953  1 P 1.55
14 O 0.0610 0.2464 0.9083  1 P 1.57
15 O 0.9968 0.3827 0.1853  1 P 1.53
16 O 0.6829 0.8846 0.4970  1 P 1.53
17 O 0.7440 0.0953 0.9510  1 P 1.55
18 O 0.0129 0.6014 0.8257  1 P 1.50
19 O 0.0953 0.9510 0.7440  1 P 1.55
20 O 0.8257 0.0129 0.6014  1 P 1.50
21 O 0.2489 0.4327 0.5902  1 P 1.57
22 O 0.4970 0.6829 0.8846  1 P 1.53
23 O 0.5625 0.4089 0.7511  1 P 1.57
24 O 0.4327 0.5902 0.2489  1 P 1.57
25 O 0.4893 0.3329 0.1119  1 P 1.53
26 O 0.3329 0.1119 0.4893  1 P 1.53
27 O 0.7511 0.5625 0.4089  1 P 1.57
28 O 0.1853 0.9968 0.3827  1 P 1.53
29 O 0.6014 0.8257 0.0129  1 P 1.50
30 O 0.9083 0.0610 0.2464  1 P 1.57
31 V 0.6424 0.6424 0.6424  6 O 1.89-2.01
32 V 0.3567 0.3567 0.3567  6 O 1.86-1.99
33 V 0.1420 0.1420 0.1420  6 O 1.89-2.02
34 Cr 0.4991 0.4991 0.4991  6 O 2.10-2.11
35 Cr 0.9993 0.9993 0.9993  6 O 2.06
36 Mn 0.8552 0.8552 0.8552  6 O 1.95-2.14



4.
A PBEsol-optimized structure of Mn2CrSbO6, computed with meta-GGA SCAN.

## Properties
ρ = 5.98 g/cm³
Formation energy from raw total energies = -1.993 eV per atom
Space-group type = P2_1/c (14)

Cell: 5.2085 5.3521 7.5689 Å, 90.00 89.70 90.00°
Last column: nearest neighbours and their distance in Å.
Element x y z (fractional)
1 Mn 0.5119 0.5489 0.7519  4 O 2.09-2.21
2 Mn 0.9881 0.0489 0.7481  4 O 2.09-2.21
3 Mn 0.0119 0.9511 0.2519  4 O 2.09-2.21
4 Mn 0.4881 0.4511 0.2481  4 O 2.09-2.21
5 O 0.3171 0.6904 0.0636  1 Cr 1.97, 1 Sb 2.00, 1 Mn 2.10
6 O 0.8130 0.8117 0.9316  1 Cr 1.98, 1 Sb 2.00, 1 Mn 2.09
7 O 0.6829 0.3096 0.9364  1 Cr 1.97, 1 Sb 2.00, 1 Mn 2.10
8 O 0.8764 0.5597 0.2513  1 Cr 2.02, 1 Sb 2.03, 2 Mn 2.10-2.21
9 O 0.3130 0.6883 0.4316  1 Cr 1.98, 1 Sb 2.00, 1 Mn 2.09
10 O 0.8171 0.8096 0.5636  1 Cr 1.97, 1 Sb 2.00, 1 Mn 2.10
11 O 0.6870 0.3117 0.5684  1 Cr 1.98, 1 Sb 2.00, 1 Mn 2.09
12 O 0.1870 0.1883 0.0684  1 Cr 1.98, 1 Sb 2.00, 1 Mn 2.09
13 O 0.3764 0.9403 0.7513  1 Cr 2.02, 1 Sb 2.03, 2 Mn 2.10-2.21
14 O 0.1829 0.1904 0.4364  1 Cr 1.97, 1 Sb 2.00, 1 Mn 2.10
15 O 0.6236 0.0597 0.2487  1 Cr 2.02, 1 Sb 2.03, 2 Mn 2.10-2.21
16 O 0.1236 0.4403 0.7487  1 Cr 2.02, 1 Sb 2.03, 2 Mn 2.10-2.21
17 Cr 0.0000 0.5000 0.5000  6 O 1.97-2.02
18 Cr 0.5000 0.0000 0.0000  6 O 1.97-2.02
19 Sb 0.5000 0.0000 0.5000  6 O 2.00-2.03
20 Sb 0.0000 0.5000 0.0000  6 O 2.00-2.03



5.
A PBEsol-optimized structure of Mn3Cr2Si3O12, computed with meta-GGA SCAN.

## Properties
DOS(E_F) = 0.000 states/eV per atom
ρ = 4.48 g/cm³
Formation energy from raw total energies = -2.633 eV per atom
Space-group type = Ia-3d (230)

Cell: 10.1621 10.1621 10.1621 Å, 109.47 109.47 109.47°
Last column: nearest neighbours and their distance in Å.
Element x y z (fractional)
1 O 0.2070 0.1900 0.0866  1 Si 1.65
2 O 0.3796 0.4831 0.7930  1 Si 1.65
3 O 0.3965 0.8796 0.5866  1 Si 1.65
4 O 0.1035 0.4134 0.1204  1 Si 1.65
5 O 0.8965 0.3100 0.5169  1 Si 1.65
6 O 0.4831 0.2930 0.8796  1 Si 1.65
7 O 0.4134 0.6204 0.6035  1 Si 1.65
8 O 0.9831 0.8796 0.2930  1 Si 1.65
9 O 0.8796 0.0866 0.8965  1 Si 1.65
10 O 0.2930 0.3796 0.9831  1 Si 1.65
11 O 0.6900 0.9831 0.6035  1 Si 1.65
12 O 0.2930 0.9134 0.8100  1 Si 1.65
13 O 0.6035 0.4831 0.6900  1 Si 1.65
14 O 0.8796 0.7930 0.4831  1 Si 1.65
15 O 0.1900 0.6035 0.9831  1 Si 1.65
16 O 0.6204 0.5169 0.2070  1 Si 1.65
17 O 0.4134 0.7930 0.3100  1 Si 1.65
18 O 0.7070 0.6204 0.0169  1 Si 1.65
19 O 0.9831 0.1035 0.1900  1 Si 1.65
20 O 0.8100 0.4134 0.2930  1 Si 1.65
21 O 0.3796 0.8965 0.0866  1 Si 1.65
22 O 0.5169 0.7070 0.1204  1 Si 1.65
23 O 0.2070 0.0169 0.6204  1 Si 1.65
24 O 0.9134 0.6035 0.6204  1 Si 1.65
25 O 0.0866 0.3965 0.3796  1 Si 1.65
26 O 0.6900 0.7070 0.5866  1 Si 1.65
27 O 0.1204 0.2070 0.5169  1 Si 1.65
28 O 0.7930 0.8100 0.9134  1 Si 1.65
29 O 0.1204 0.9134 0.1035  1 Si 1.65
30 O 0.5866 0.2070 0.6900  1 Si 1.65
31 O 0.9134 0.3100 0.7930  1 Si 1.65
32 O 0.0169 0.8965 0.8100  1 Si 1.65
33 O 0.5866 0.3796 0.3965  1 Si 1.65
34 O 0.4831 0.1900 0.1035  1 Si 1.65
35 O 0.6035 0.1204 0.4134  1 Si 1.65
36 O 0.1900 0.5866 0.7070  1 Si 1.65
37 O 0.0169 0.1204 0.7070  1 Si 1.65
38 O 0.7070 0.0866 0.1900  1 Si 1.65
39 O 0.6204 0.1035 0.9134  1 Si 1.65
40 O 0.1035 0.6900 0.4831  1 Si 1.65
41 O 0.3100 0.0169 0.3965  1 Si 1.65
42 O 0.7930 0.9831 0.3796  1 Si 1.65
43 O 0.8100 0.3965 0.0169  1 Si 1.65
44 O 0.8965 0.5866 0.8796  1 Si 1.65
45 O 0.3965 0.5169 0.3100  1 Si 1.65
46 O 0.5169 0.8100 0.8965  1 Si 1.65
47 O 0.3100 0.2930 0.4134  1 Si 1.65
48 O 0.0866 0.6900 0.2070  1 Si 1.65
49 Cr 0.5000 0.0000 0.0000  6 O 1.96
50 Cr 0.0000 0.5000 0.5000  6 O 1.96
51 Cr 0.0000 0.0000 0.5000  6 O 1.96
52 Cr 0.5000 0.0000 0.5000  6 O 1.96
53 Cr 0.0000 0.5000 0.0000  6 O 1.96
54 Cr 0.0000 0.0000 0.0000  6 O 1.96
55 Cr 0.5000 0.5000 0.0000  6 O 1.96
56 Cr 0.5000 0.5000 0.5000  6 O 1.96
57 Mn 0.6250 0.8750 0.7500  8 O 2.26-2.39
58 Mn 0.2500 0.6250 0.3750  8 O 2.26-2.39
59 Mn 0.1250 0.3750 0.7500  8 O 2.26-2.39
60 Mn 0.1250 0.7500 0.8750  8 O 2.26-2.39
61 Mn 0.7500 0.8750 0.1250  8 O 2.26-2.39
62 Mn 0.7500 0.3750 0.6250  8 O 2.26-2.39
63 Mn 0.2500 0.1250 0.8750  8 O 2.26-2.39
64 Mn 0.8750 0.2500 0.1250  8 O 2.26-2.39
65 Mn 0.8750 0.6250 0.2500  8 O 2.26-2.39
66 Mn 0.3750 0.2500 0.6250  8 O 2.26-2.39
67 Mn 0.3750 0.1250 0.2500  8 O 2.26-2.39
68 Mn 0.6250 0.7500 0.3750  8 O 2.26-2.39
69 Si 0.6250 0.3750 0.2500  4 O 1.65
70 Si 0.2500 0.8750 0.6250  4 O 1.65
71 Si 0.3750 0.6250 0.7500  4 O 1.65
72 Si 0.8750 0.7500 0.6250  4 O 1.65
73 Si 0.6250 0.2500 0.8750  4 O 1.65
74 Si 0.7500 0.1250 0.3750  4 O 1.65
75 Si 0.8750 0.1250 0.7500  4 O 1.65
76 Si 0.3750 0.7500 0.1250  4 O 1.65
77 Si 0.1250 0.2500 0.3750  4 O 1.65
78 Si 0.1250 0.8750 0.2500  4 O 1.65
79 Si 0.7500 0.6250 0.8750  4 O 1.65
80 Si 0.2500 0.3750 0.1250  4 O 1.65



6.
A PBEsol-optimized structure of Ti3Mn3Cr2O16, computed with meta-GGA SCAN.

## Properties
ρ = 4.44 g/cm³
Formation energy from raw total energies = -2.485 eV per atom
Space-group type = Cm (8)

Cell: 5.7438 5.7438 8.7242 Å, 90.66 90.66 60.27°
Last column: nearest neighbours and their distance in Å.
Element x y z (fractional)
1 O 0.5250 0.5250 0.6525  1 Cr 1.94, 2 Ti 1.94
2 O 0.9924 0.9924 0.1832  1 Ti 1.90, 2 Mn 1.91
3 O 0.0486 0.4820 0.1587  1 Mn 1.87, 1 Cr 1.91, 1 Ti 2.00
4 O 0.9554 0.5317 0.6592  1 Mn 1.88, 1 Cr 1.90, 1 Ti 2.00
5 O 0.9930 0.9930 0.6816  1 Mn 1.91, 2 Ti 1.92
6 O 0.8287 0.3422 0.3993  1 Cr 1.91, 1 Ti 1.92, 1 Mn 1.93
7 O 0.1736 0.1736 0.8963  1 Cr 1.89, 2 Ti 1.95
8 O 0.1706 0.6552 0.9005  1 Cr 1.89, 1 Ti 1.94, 1 Mn 1.95
9 O 0.4789 0.4789 0.1665  2 Mn 1.90, 1 Cr 1.94
10 O 0.3422 0.8287 0.3993  1 Cr 1.91, 1 Ti 1.92, 1 Mn 1.93
11 O 0.8282 0.8282 0.3965  1 Cr 1.84, 2 Mn 1.94
12 O 0.3387 0.3387 0.4020  2 Mn 1.88, 1 Ti 2.01
13 O 0.6552 0.1706 0.9005  1 Cr 1.89, 1 Ti 1.94, 1 Mn 1.95
14 O 0.5317 0.9554 0.6592  1 Mn 1.88, 1 Cr 1.90, 1 Ti 2.00
15 O 0.4820 0.0486 0.1587  1 Mn 1.87, 1 Cr 1.91, 1 Ti 2.00
16 O 0.6694 0.6694 0.9042  1 Mn 1.87, 2 Ti 1.97
17 Cr 0.3340 0.3340 0.0146  6 O 1.89-1.94
18 Cr 0.6736 0.6736 0.5112  6 O 1.84-1.94
19 Mn 0.1700 0.6593 0.2907  6 O 1.87-1.94
20 Mn 0.6593 0.1700 0.2907  6 O 1.87-1.94
21 Mn 0.8288 0.8288 0.7919  6 O 1.87-1.95
22 Ti 0.8299 0.3302 0.7884  6 O 1.92-2.00
23 Ti 0.1605 0.1605 0.2902  6 O 1.90-2.01
24 Ti 0.3302 0.8299 0.7884  6 O 1.92-2.00



7.
A PBEsol-optimized structure of Ti2Mn3Cr3O16, computed with meta-GGA SCAN.

## Properties
DOS(E_F) = 0.206 states/eV per atom
ρ = 4.49 g/cm³
Formation energy from raw total energies = -2.364 eV per atom
Space-group type = Cm (8)

Cell: 5.6674 5.6829 8.9077 Å, 89.35 90.00 119.91°
Last column: nearest neighbours and their distance in Å.
Element x y z (fractional)
1 O 0.1655 0.3310 0.1060  1 Ti 1.92, 2 Cr 1.92
2 O 0.5203 0.0405 0.3378  2 Cr 1.86, 1 Ti 2.08
3 O 0.9993 0.9987 0.8173  2 Mn 1.89, 1 Cr 1.91
4 O 0.5219 0.4825 0.3331  1 Mn 1.88, 1 Cr 1.91, 1 Ti 1.99
5 O 0.6692 0.3385 0.0994  1 Mn 1.89, 2 Cr 1.91
6 O 0.8388 0.6776 0.6000  1 Ti 1.88, 2 Mn 1.93
7 O 0.9981 0.9963 0.3105  2 Cr 1.88, 1 Mn 1.88
8 O 0.0415 0.5242 0.8331  1 Mn 1.87, 1 Cr 1.89, 1 Ti 2.02
9 O 0.3351 0.1760 0.6031  1 Cr 1.89, 1 Mn 1.92, 1 Ti 1.94
10 O 0.6663 0.8358 0.1002  1 Ti 1.91, 1 Mn 1.92, 1 Cr 1.92
11 O 0.4827 0.5242 0.8331  1 Mn 1.87, 1 Cr 1.89, 1 Ti 2.02
12 O 0.9606 0.4825 0.3331  1 Mn 1.88, 1 Cr 1.91, 1 Ti 1.99
13 O 0.3404 0.6809 0.6022  2 Mn 1.89, 1 Cr 1.94
14 O 0.1695 0.8358 0.1002  1 Ti 1.91, 1 Mn 1.92, 1 Cr 1.92
15 O 0.4825 0.9650 0.8340  2 Mn 1.88, 1 Ti 2.03
16 O 0.8408 0.1760 0.6031  1 Cr 1.89, 1 Mn 1.92, 1 Ti 1.94
17 Ti 0.6761 0.3522 0.4924  6 O 1.88-2.08
18 Ti 0.3326 0.6652 0.9920  6 O 1.91-2.03
19 Mn 0.6663 0.8381 0.7134  6 O 1.87-1.93
20 Mn 0.8317 0.6635 0.2090  6 O 1.88-1.92
21 Mn 0.1718 0.8381 0.7134  6 O 1.87-1.93
22 Cr 0.8253 0.1642 0.2141  6 O 1.86-1.92
23 Cr 0.1695 0.3389 0.7118  6 O 1.89-1.94
24 Cr 0.3390 0.1642 0.2141  6 O 1.86-1.92



8.
A PBEsol-optimized structure of Y2MnCrO6, computed with meta-GGA SCAN.

## Properties
ρ = 5.82 g/cm³
Formation energy from raw total energies = -3.195 eV per atom
Space-group type = P2_1/c (14)

Cell: 5.2550 5.6457 7.3258 Å, 90.00 89.52 90.00°
Last column: nearest neighbours and their distance in Å.
Element x y z (fractional)
1 Y 0.5195 0.9245 0.7505  6 O 2.25-2.47
2 Y 0.9805 0.4245 0.7495  6 O 2.25-2.47
3 Y 0.0195 0.5755 0.2505  6 O 2.25-2.47
4 Y 0.4805 0.0755 0.2495  6 O 2.25-2.47
5 Mn 0.5000 0.5000 0.5000  6 O 1.90-2.08
6 Mn 0.0000 0.0000 0.0000  6 O 1.90-2.08
7 O 0.6940 0.1870 0.5553  1 Cr 1.96, 1 Mn 2.08
8 O 0.1096 0.0372 0.7540  1 Mn 1.90, 1 Cr 1.96
9 O 0.1859 0.3033 0.4473  1 Cr 2.01, 1 Mn 2.03
10 O 0.6096 0.4628 0.2540  1 Mn 1.90, 1 Cr 1.96
11 O 0.1940 0.3130 0.0553  1 Cr 1.96, 1 Mn 2.08
12 O 0.3904 0.5372 0.7460  1 Mn 1.90, 1 Cr 1.96
13 O 0.8141 0.6967 0.5527  1 Cr 2.01, 1 Mn 2.03
14 O 0.8060 0.6870 0.9447  1 Cr 1.96, 1 Mn 2.08
15 O 0.6859 0.1967 0.9473  1 Cr 2.01, 1 Mn 2.03
16 O 0.8904 0.9628 0.2460  1 Mn 1.90, 1 Cr 1.96
17 O 0.3141 0.8033 0.0527  1 Cr 2.01, 1 Mn 2.03
18 O 0.3060 0.8130 0.4447  1 Cr 1.96, 1 Mn 2.08
19 Cr 0.5000 0.5000 0.0000  6 O 1.96-2.01
20 Cr 0.0000 0.0000 0.5000  6 O 1.96-2.01



Q: Among the records above, which one has the lowest ρ?
A: TiMnCrP3O12



Q: Which formula does entry 2 have?
A: Ti3MnCr2P6O24



Q: What is the formula in the fifth record?
A: Mn3Cr2Si3O12